[1]
# Ti8Sb2W, relaxed, DFT GGA-PBE
# N(E_F), states/eV per atom: 0.690
# Total magnetic moment, μB per formula unit: 0.0
# Formation energy (no corrections), meV/atom: -219
data_Ti8Sb2W
_chemical_formula_sum 'Ti16 Sb4 W2'
_space_group_name_H-M_alt 'I m m m'
_space_group_IT_number 71
_space_group_name_Hall '-I 2 2'
_cell_length_a 4.661
_cell_length_b 6.311
_cell_length_c 13.524
_cell_angle_alpha 90.00
_cell_angle_beta 90.00
_cell_angle_gamma 90.00
loop_
_atom_site_label
_atom_site_fract_x
_atom_site_fract_y
_atom_site_fract_z
_atom_site_occupancy
Ti1 0.000 0.000 0.169 1
Ti2 0.000 0.239 0.358 1
Ti3 0.000 0.250 0.000 1
Sb1 0.000 0.500 0.184 1
W1 0.000 0.500 0.500 1

=====

[2]
# TiSbW3, relaxed, DFT GGA-PBE
# Polymorph energy (0 for the lowest one), kcal/mol of atoms: 0.00
# N(E_F), states/eV per atom: 1.481
# Total magnetic moment, μB per formula unit: 0.0
# Formation energy (no corrections), meV/atom: 1867
data_TiSbW3
_chemical_formula_sum 'Ti1 Sb1 W3'
_space_group_name_H-M_alt 'P m -3 m'
_space_group_IT_number 221
_space_group_name_Hall '-P 4 2 3'
_cell_length_a 4.664
_cell_length_b 4.664
_cell_length_c 4.664
_cell_angle_alpha 90.00
_cell_angle_beta 90.00
_cell_angle_gamma 90.00
loop_
_atom_site_label
_atom_site_fract_x
_atom_site_fract_y
_atom_site_fract_z
_atom_site_occupancy
Ti1 0.000 0.000 0.000 1
Sb1 0.500 0.500 0.500 1
W1 0.000 0.000 0.500 1

=====

[3]
# TiSb2W, relaxed, DFT GGA-PBE
# Polymorph energy (0 for the lowest one), kcal/mol of atoms: 18.11
# N(E_F), states/eV per atom: 1.713
# Total magnetic moment, μB per formula unit: 3.8
# Formation energy (no corrections), meV/atom: 935
data_TiSb2W
_chemical_formula_sum 'Ti4 Sb8 W4'
_space_group_name_H-M_alt 'I -4 2 d'
_space_group_IT_number 122
_space_group_name_Hall 'I -4 2bw'
_cell_length_a 6.499
_cell_length_b 6.499
_cell_length_c 11.677
_cell_angle_alpha 90.00
_cell_angle_beta 90.00
_cell_angle_gamma 90.00
loop_
_atom_site_label
_atom_site_fract_x
_atom_site_fract_y
_atom_site_fract_z
_atom_site_occupancy
Ti1 0.000 0.000 0.000 1
Sb1 0.238 0.250 0.625 1
W1 0.000 0.000 0.500 1

=====

[4]
# TiSb2W, relaxed, DFT GGA-PBE
# Polymorph energy (0 for the lowest one), kcal/mol of atoms: 0.00
# N(E_F), states/eV per atom: 0.578
# Total magnetic moment, μB per formula unit: 0.0
# Formation energy (no corrections), meV/atom: 150
data_TiSb2W
_chemical_formula_sum 'Ti4 Sb8 W4'
_space_group_name_H-M_alt 'F m -3 m'
_space_group_IT_number 225
_space_group_name_Hall '-F 4 2 3'
_cell_length_a 6.721
_cell_length_b 6.721
_cell_length_c 6.721
_cell_angle_alpha 90.00
_cell_angle_beta 90.00
_cell_angle_gamma 90.00
loop_
_atom_site_label
_atom_site_fract_x
_atom_site_fract_y
_atom_site_fract_z
_atom_site_occupancy
Ti1 0.000 0.000 0.000 1
Sb1 0.250 0.250 0.250 1
W1 0.000 0.000 0.500 1